{
  "formula": "LaRe2Cl",
  "functional": "PBE-GGA",
  "state": "relaxed",
  "lattice_angstrom": [[-0.254, -1.756, -5.103], [-4.822, -2.433, -0.105], [2.087, 4.924, 0.767]],
  "species": ["Re", "Re", "Cl", "La"],
  "fractional_positions": [[0.935, 0.935, 0.000], [0.759, 0.259, 0.500], [0.540, 0.540, 0.000], [0.266, 0.766, 0.500]],
  "n_ef_per_ev_cell": 1.76,
  "sg": "Imm2, No. 44",
  "de_polymorph_mev_per_atom": 501.5,
  "total_energy_ha_per_atom": -0.280,
  "volume_a3_per_atom": 22.4
}


{
  "formula": "La2ReCl",
  "functional": "PBE-GGA",
  "state": "relaxed",
  "lattice_angstrom": [[3.332, -0.001, 0.000], [-1.358, 3.043, 0.000], [0.000, 0.000, 10.902]],
  "species": ["Re", "Cl", "La", "La"],
  "fractional_positions": [[0.000, 0.000, 0.476], [0.500, 0.500, 0.768], [0.000, 0.000, 0.965], [0.500, 0.500, 0.291]],
  "n_ef_per_ev_cell": 3.99,
  "sg": "Cmm2, No. 35",
  "de_polymorph_mev_per_atom": 912.7,
  "total_energy_ha_per_atom": -0.212,
  "volume_a3_per_atom": 27.6
}


{
  "formula": "La2ReCl",
  "functional": "PBE-GGA",
  "state": "relaxed",
  "lattice_angstrom": [[3.548, 0.019, 0.000], [-0.578, 3.500, 0.000], [0.000, 0.000, 8.246]],
  "species": ["Re", "Cl", "La", "La"],
  "fractional_positions": [[0.500, 0.500, 0.250], [0.500, 0.500, 0.750], [0.000, 0.000, 0.036], [0.000, 0.000, 0.464]],
  "n_ef_per_ev_cell": 1.39,
  "sg": "Cmmm, No. 65",
  "de_polymorph_mev_per_atom": 0.0,
  "total_energy_ha_per_atom": -0.245,
  "volume_a3_per_atom": 25.6
}


{
  "formula": "LaRe2Cl",
  "functional": "PBE-GGA",
  "state": "relaxed",
  "lattice_angstrom": [[4.884, 0.000, 0.000], [0.000, 4.884, 0.000], [2.442, 2.442, 7.940]],
  "species": ["Re", "Re", "Re", "Re", "Cl", "Cl", "La", "La"],
  "fractional_positions": [[0.327, 0.125, 0.250], [0.423, 0.625, 0.250], [0.375, 0.673, 0.750], [0.875, 0.577, 0.750], [0.500, 0.500, 0.000], [0.250, 0.750, 0.500], [0.000, 0.000, 0.000], [0.750, 0.250, 0.500]],
  "n_ef_per_ev_cell": 8.64,
  "sg": "I-42d, No. 122",
  "de_polymorph_mev_per_atom": 979.7,
  "total_energy_ha_per_atom": -0.262,
  "volume_a3_per_atom": 23.7
}


{
  "formula": "La2ReCl",
  "functional": "PBE-GGA",
  "state": "relaxed",
  "lattice_angstrom": [[6.462, -0.009, 0.000], [3.883, 5.165, 0.000], [-5.173, -2.578, 2.890]],
  "species": ["Re", "Cl", "La", "La"],
  "fractional_positions": [[0.500, 0.500, 0.000], [0.750, 0.250, 0.500], [0.000, 0.000, 0.000], [0.250, 0.750, 0.500]],
  "n_ef_per_ev_cell": 3.51,
  "sg": "I-4m2, No. 119",
  "de_polymorph_mev_per_atom": 567.5,
  "total_energy_ha_per_atom": -0.224,
  "volume_a3_per_atom": 24.1
}


{
  "formula": "LaReCl3",
  "functional": "PBE-GGA",
  "state": "relaxed",
  "lattice_angstrom": [[4.776, 0.000, 0.000], [0.000, 4.776, 0.000], [0.000, 0.000, 4.776]],
  "species": ["Re", "Cl", "Cl", "Cl", "La"],
  "fractional_positions": [[0.000, 0.000, 0.000], [0.000, 0.500, 0.000], [0.000, 0.000, 0.500], [0.500, 0.000, 0.000], [0.500, 0.500, 0.500]],
  "n_ef_per_ev_cell": 4.43,
  "sg": "Pm-3m, No. 221",
  "de_polymorph_mev_per_atom": 133.0,
  "total_energy_ha_per_atom": -0.175,
  "volume_a3_per_atom": 21.8
}


{
  "formula": "La2ReCl",
  "functional": "PBE-GGA",
  "state": "relaxed",
  "lattice_angstrom": [[-2.941, 2.780, -3.104], [-4.574, -1.750, -1.424], [-4.241, 2.194, 1.793]],
  "species": ["Re", "Cl", "La", "La"],
  "fractional_positions": [[0.250, 0.250, 0.250], [0.500, 0.500, 0.500], [0.000, 0.000, 0.000], [0.750, 0.750, 0.750]],
  "n_ef_per_ev_cell": 2.34,
  "sg": "F-43m, No. 216",
  "de_polymorph_mev_per_atom": 1017.5,
  "total_energy_ha_per_atom": -0.208,
  "volume_a3_per_atom": 23.5
}


{
  "formula": "LaRe2Cl",
  "functional": "PBE-GGA",
  "state": "relaxed",
  "lattice_angstrom": [[-3.999, -0.863, -0.702], [1.111, -3.216, -2.378], [-0.073, -3.659, 4.913]],
  "species": ["Re", "Re", "Cl", "La"],
  "fractional_positions": [[0.000, 0.000, 0.927], [0.000, 0.000, 0.573], [0.500, 0.500, 0.250], [0.500, 0.500, 0.750]],
  "n_ef_per_ev_cell": 4.12,
  "sg": "P4/mmm, No. 123",
  "de_polymorph_mev_per_atom": 982.8,
  "total_energy_ha_per_atom": -0.262,
  "volume_a3_per_atom": 26.4
}


{
  "formula": "La2ReCl",
  "functional": "PBE-GGA",
  "state": "relaxed",
  "lattice_angstrom": [[-0.867, -4.008, -3.108], [-3.028, -3.856, 1.559], [-4.639, -0.649, -2.127]],
  "species": ["Re", "Cl", "La", "La"],
  "fractional_positions": [[0.500, 0.500, 0.500], [0.000, 0.000, 0.000], [0.250, 0.250, 0.250], [0.750, 0.750, 0.750]],
  "n_ef_per_ev_cell": 1.42,
  "sg": "Fm-3m, No. 225",
  "de_polymorph_mev_per_atom": 408.2,
  "total_energy_ha_per_atom": -0.230,
  "volume_a3_per_atom": 24.1
}


{
  "formula": "LaReCl",
  "functional": "PBE-GGA",
  "state": "relaxed",
  "lattice_angstrom": [[-2.083, 1.847, 3.580], [0.862, -4.452, -0.074], [3.069, 0.569, 1.492]],
  "species": ["Re", "Cl", "La"],
  "fractional_positions": [[0.667, 0.333, 0.833], [0.000, 0.000, 0.833], [0.333, 0.667, 0.333]],
  "n_ef_per_ev_cell": 4.31,
  "sg": "P-6m2, No. 187",
  "de_polymorph_mev_per_atom": 26.9,
  "total_energy_ha_per_atom": -0.225,
  "volume_a3_per_atom": 20.5
}


{
  "formula": "LaReCl3",
  "functional": "PBE-GGA",
  "state": "relaxed",
  "lattice_angstrom": [[5.585, 0.000, 0.000], [0.000, 5.585, 0.000], [0.000, 0.000, 5.585]],
  "species": ["Re", "Cl", "Cl", "Cl", "La"],
  "fractional_positions": [[0.500, 0.500, 0.500], [0.000, 0.500, 0.000], [0.000, 0.000, 0.500], [0.500, 0.000, 0.000], [0.000, 0.000, 0.000]],
  "n_ef_per_ev_cell": 0.00,
  "sg": "Pm-3m, No. 221",
  "de_polymorph_mev_per_atom": 0.0,
  "total_energy_ha_per_atom": -0.180,
  "volume_a3_per_atom": 34.8
}


{
  "formula": "LaRe2Cl",
  "functional": "PBE-GGA",
  "state": "relaxed",
  "lattice_angstrom": [[-1.773, -2.822, 0.212], [1.402, -1.160, -3.716], [4.688, -2.748, 2.626]],
  "species": ["Re", "Re", "Cl", "La"],
  "fractional_positions": [[0.000, 0.000, 0.000], [0.500, 0.500, 0.000], [0.500, 0.000, 0.500], [0.000, 0.500, 0.500]],
  "n_ef_per_ev_cell": 3.72,
  "sg": "Pmmm, No. 47",
  "de_polymorph_mev_per_atom": 411.7,
  "total_energy_ha_per_atom": -0.283,
  "volume_a3_per_atom": 20.9
}


{
  "formula": "La2ReCl",
  "functional": "PBE-GGA",
  "state": "relaxed",
  "lattice_angstrom": [[3.519, 0.000, 0.000], [0.000, 3.510, 0.070], [0.000, 2.923, 8.268]],
  "species": ["Re", "Cl", "La", "La"],
  "fractional_positions": [[0.500, 0.250, 0.250], [0.500, 0.750, 0.750], [0.000, 0.011, 0.033], [0.000, 0.489, 0.467]],
  "n_ef_per_ev_cell": 1.45,
  "sg": "P2/m, No. 10",
  "de_polymorph_mev_per_atom": 4.1,
  "total_energy_ha_per_atom": -0.245,
  "volume_a3_per_atom": 25.3
}


{
  "formula": "LaReCl",
  "functional": "PBE-GGA",
  "state": "relaxed",
  "lattice_angstrom": [[4.736, 0.000, 0.000], [2.368, 4.101, 0.000], [2.368, 1.367, 3.867]],
  "species": ["Re", "Cl", "La"],
  "fractional_positions": [[0.500, 0.500, 0.500], [0.250, 0.250, 0.250], [0.000, 0.000, 0.000]],
  "n_ef_per_ev_cell": 1.19,
  "sg": "F-43m, No. 216",
  "de_polymorph_mev_per_atom": 366.2,
  "total_energy_ha_per_atom": -0.213,
  "volume_a3_per_atom": 25.0
}


{
  "formula": "LaRe2Cl",
  "functional": "PBE-GGA",
  "state": "relaxed",
  "lattice_angstrom": [[-0.354, 3.745, -4.775], [-3.645, 3.423, -3.456], [0.920, 3.088, 3.049]],
  "species": ["Re", "Re", "Cl", "La"],
  "fractional_positions": [[0.974, 0.974, 0.079], [0.526, 0.526, 0.421], [0.750, 0.750, 0.750], [0.250, 0.250, 0.250]],
  "n_ef_per_ev_cell": 2.04,
  "sg": "C2/m, No. 12",
  "de_polymorph_mev_per_atom": 288.8,
  "total_energy_ha_per_atom": -0.287,
  "volume_a3_per_atom": 22.8
}


{
  "formula": "LaRe2Cl",
  "functional": "PBE-GGA",
  "state": "relaxed",
  "lattice_angstrom": [[-1.131, -0.255, 3.183], [3.118, -1.406, 0.995], [2.955, 7.733, 1.670]],
  "species": ["Re", "Re", "Cl", "La"],
  "fractional_positions": [[0.000, 0.000, 0.050], [0.500, 0.500, 0.118], [0.000, 0.000, 0.567], [0.500, 0.500, 0.765]],
  "n_ef_per_ev_cell": 2.96,
  "sg": "Pmm2, No. 25",
  "de_polymorph_mev_per_atom": 154.8,
  "total_energy_ha_per_atom": -0.292,
  "volume_a3_per_atom": 25.5
}


{
  "formula": "La2ReCl2",
  "functional": "PBE-GGA",
  "state": "relaxed",
  "lattice_angstrom": [[-3.783, 2.230, 3.535], [-4.042, -3.167, -2.328], [-3.189, -3.252, 3.134]],
  "species": ["Re", "Cl", "Cl", "La", "La"],
  "fractional_positions": [[0.000, 0.000, 0.000], [0.310, 0.310, 0.380], [0.690, 0.690, 0.620], [0.750, 0.250, 0.500], [0.250, 0.750, 0.500]],
  "n_ef_per_ev_cell": 2.79,
  "sg": "I4/mmm, No. 139",
  "de_polymorph_mev_per_atom": 0.0,
  "total_energy_ha_per_atom": -0.214,
  "volume_a3_per_atom": 24.3
}


{
  "formula": "LaRe2Cl",
  "functional": "PBE-GGA",
  "state": "relaxed",
  "lattice_angstrom": [[9.991, -0.028, -0.016], [9.571, 2.869, -0.016], [9.571, 1.390, 2.510]],
  "species": ["Re", "Re", "Cl", "La"],
  "fractional_positions": [[0.988, 0.988, 0.988], [0.512, 0.512, 0.512], [0.250, 0.250, 0.250], [0.750, 0.750, 0.750]],
  "n_ef_per_ev_cell": 4.40,
  "sg": "R-3m, No. 166",
  "de_polymorph_mev_per_atom": 1247.8,
  "total_energy_ha_per_atom": -0.252,
  "volume_a3_per_atom": 18.3
}


{
  "formula": "LaRe2Cl",
  "functional": "PBE-GGA",
  "state": "relaxed",
  "lattice_angstrom": [[-1.117, -1.580, 2.058], [1.808, -2.081, -0.616], [6.280, 3.623, 6.188]],
  "species": ["Re", "Re", "Cl", "La"],
  "fractional_positions": [[0.000, 0.000, 0.023], [0.000, 0.000, 0.477], [0.500, 0.500, 0.250], [0.500, 0.500, 0.750]],
  "n_ef_per_ev_cell": 4.15,
  "sg": "P4/mmm, No. 123",
  "de_polymorph_mev_per_atom": 1361.2,
  "total_energy_ha_per_atom": -0.248,
  "volume_a3_per_atom": 19.0
}


{
  "formula": "La7ReCl12",
  "functional": "PBE-GGA",
  "state": "relaxed",
  "lattice_angstrom": [[-6.035, -4.153, -7.924], [8.143, 3.607, -3.193], [2.304, -6.452, 6.526]],
  "species": ["La", "La", "La", "La", "La", "La", "La", "Re", "Cl", "Cl", "Cl", "Cl", "Cl", "Cl", "Cl", "Cl", "Cl", "Cl", "Cl", "Cl"],
  "fractional_positions": [[0.115, 0.799, 0.103], [0.988, 0.103, 0.303], [0.685, 0.697, 0.799], [0.500, 0.000, 0.000], [0.315, 0.303, 0.201], [0.012, 0.897, 0.697], [0.885, 0.201, 0.897], [0.000, 0.000, 0.000], [0.204, 0.523, 0.121], [0.917, 0.121, 0.598], [0.633, 0.808, 0.090], [0.457, 0.090, 0.282], [0.319, 0.402, 0.523], [0.175, 0.718, 0.808], [0.825, 0.282, 0.192], [0.681, 0.598, 0.477], [0.543, 0.910, 0.718], [0.367, 0.192, 0.910], [0.083, 0.879, 0.402], [0.796, 0.477, 0.879]],
  "n_ef_per_ev_cell": 8.62,
  "sg": "R-3, No. 148",
  "total_energy_ha_per_atom": -0.198,
  "volume_a3_per_atom": 35.8
}


{
  "formula": "LaRe2Cl",
  "functional": "PBE-GGA",
  "state": "relaxed",
  "lattice_angstrom": [[-2.734, 1.007, 0.462], [0.537, -1.479, -2.495], [-2.276, -8.180, 4.358]],
  "species": ["Re", "Re", "Cl", "La"],
  "fractional_positions": [[0.000, 0.000, 0.021], [0.000, 0.000, 0.479], [0.500, 0.500, 0.250], [0.500, 0.500, 0.750]],
  "n_ef_per_ev_cell": 4.46,
  "sg": "Cmmm, No. 65",
  "de_polymorph_mev_per_atom": 1225.1,
  "total_energy_ha_per_atom": -0.253,
  "volume_a3_per_atom": 18.3
}


{
  "formula": "La2ReCl",
  "functional": "PBE-GGA",
  "state": "relaxed",
  "lattice_angstrom": [[3.811, 0.000, 0.000], [0.000, 4.688, 0.000], [0.000, 0.000, 5.855]],
  "species": ["Re", "Cl", "La", "La"],
  "fractional_positions": [[0.000, 0.000, 0.342], [0.500, 0.500, 0.873], [0.000, 0.000, 0.910], [0.500, 0.500, 0.375]],
  "n_ef_per_ev_cell": 2.55,
  "sg": "Pmm2, No. 25",
  "de_polymorph_mev_per_atom": 96.2,
  "total_energy_ha_per_atom": -0.242,
  "volume_a3_per_atom": 26.2
}


{
  "formula": "LaRe2Cl",
  "functional": "PBE-GGA",
  "state": "relaxed",
  "lattice_angstrom": [[9.669, 0.018, 0.011], [9.188, 3.010, 0.011], [9.188, 1.476, 2.624]],
  "species": ["Re", "Re", "Cl", "La"],
  "fractional_positions": [[0.989, 0.989, 0.989], [0.254, 0.254, 0.254], [0.503, 0.503, 0.503], [0.754, 0.754, 0.754]],
  "n_ef_per_ev_cell": 3.19,
  "sg": "R3m, No. 160",
  "de_polymorph_mev_per_atom": 497.8,
  "total_energy_ha_per_atom": -0.280,
  "volume_a3_per_atom": 18.9
}


{
  "formula": "La5Re2Cl2",
  "functional": "PBE-GGA",
  "state": "relaxed",
  "lattice_angstrom": [[7.866, 0.000, 2.855], [0.000, 7.751, 0.000], [1.223, 0.000, 8.894]],
  "species": ["La", "La", "La", "La", "La", "La", "La", "La", "La", "La", "Re", "Re", "Re", "Re", "Cl", "Cl", "Cl", "Cl"],
  "fractional_positions": [[0.000, 0.000, 0.000], [0.500, 0.500, 0.000], [0.440, 0.162, 0.752], [0.808, 0.838, 0.752], [0.308, 0.662, 0.752], [0.940, 0.338, 0.752], [0.560, 0.838, 0.248], [0.192, 0.162, 0.248], [0.692, 0.338, 0.248], [0.060, 0.662, 0.248], [0.107, 0.389, 0.000], [0.893, 0.611, 0.000], [0.393, 0.889, 0.000], [0.607, 0.111, 0.000], [0.191, 0.000, 0.618], [0.691, 0.500, 0.618], [0.809, 0.000, 0.382], [0.309, 0.500, 0.382]],
  "n_ef_per_ev_cell": 15.29,
  "sg": "Cmce, No. 64",
  "total_energy_ha_per_atom": -0.238,
  "volume_a3_per_atom": 28.6
}


{
  "formula": "LaRe2Cl",
  "functional": "PBE-GGA",
  "state": "relaxed",
  "lattice_angstrom": [[-2.416, -4.640, 3.456], [4.899, 0.155, -3.910], [1.699, 0.722, 2.157]],
  "species": ["Re", "Re", "Cl", "La"],
  "fractional_positions": [[0.000, 0.000, 0.000], [0.500, 0.500, 0.000], [0.500, 0.000, 0.500], [0.000, 0.500, 0.500]],
  "n_ef_per_ev_cell": 4.01,
  "sg": "Cmmm, No. 65",
  "de_polymorph_mev_per_atom": 975.9,
  "total_energy_ha_per_atom": -0.262,
  "volume_a3_per_atom": 20.9
}


{
  "formula": "La2ReCl",
  "functional": "PBE-GGA",
  "state": "relaxed",
  "lattice_angstrom": [[5.293, 0.000, 0.000], [0.000, 5.294, 0.000], [0.000, 0.000, 3.425]],
  "species": ["Re", "Cl", "La", "La"],
  "fractional_positions": [[0.500, 0.000, 0.500], [0.000, 0.500, 0.500], [0.000, 0.000, 0.000], [0.500, 0.500, 0.000]],
  "n_ef_per_ev_cell": 3.94,
  "sg": "P4/mmm, No. 123",
  "de_polymorph_mev_per_atom": 284.7,
  "total_energy_ha_per_atom": -0.235,
  "volume_a3_per_atom": 24.0
}


{
  "formula": "La2ReCl",
  "functional": "PBE-GGA",
  "state": "relaxed",
  "lattice_angstrom": [[10.510, 0.027, 0.016], [9.914, 3.491, 0.016], [9.914, 1.708, 3.045]],
  "species": ["Re", "Cl", "La", "La"],
  "fractional_positions": [[0.511, 0.511, 0.511], [0.741, 0.741, 0.741], [0.008, 0.008, 0.008], [0.240, 0.240, 0.240]],
  "n_ef_per_ev_cell": 2.66,
  "sg": "R3m, No. 160",
  "de_polymorph_mev_per_atom": 859.5,
  "total_energy_ha_per_atom": -0.214,
  "volume_a3_per_atom": 27.6
}


{
  "formula": "LaReCl",
  "functional": "PBE-GGA",
  "state": "relaxed",
  "lattice_angstrom": [[-5.751, -4.708, 1.556], [-4.840, -5.686, -1.382], [1.518, -2.528, 1.314]],
  "species": ["Re", "Cl", "La"],
  "fractional_positions": [[0.692, 0.692, 0.308], [0.972, 0.972, 0.028], [0.336, 0.336, 0.664]],
  "n_ef_per_ev_cell": 1.52,
  "sg": "I4mm, No. 107",
  "de_polymorph_mev_per_atom": 0.0,
  "total_energy_ha_per_atom": -0.226,
  "volume_a3_per_atom": 25.2
}


{
  "formula": "LaRe2Cl",
  "functional": "PBE-GGA",
  "state": "relaxed",
  "lattice_angstrom": [[6.504, 0.007, -0.026], [-4.279, 4.897, -0.026], [0.790, 1.742, 2.554]],
  "species": ["Re", "Re", "Cl", "La"],
  "fractional_positions": [[0.000, 0.000, 0.000], [0.500, 0.500, 0.000], [0.500, 0.000, 0.500], [0.000, 0.500, 0.500]],
  "n_ef_per_ev_cell": 3.84,
  "sg": "C2/m, No. 12",
  "de_polymorph_mev_per_atom": 478.7,
  "total_energy_ha_per_atom": -0.280,
  "volume_a3_per_atom": 20.5
}